Below is an optimized crystal structure of K2BeCu, with properties calculated at the GGA-PBE level. Values from VASP.

Calculated values
DFT formation energy in meV per atom: 918

```
&SYSTEM
  ibrav = 0, nat = 4, ntyp = 3
/
ATOMIC_SPECIES
K 39.10 K.upf
Be 9.01 Be.upf
Cu 63.55 Cu.upf
CELL_PARAMETERS angstrom
4.395 -1.423 0.000
4.395 1.423 0.000
-0.351 0.000 9.261
ATOMIC_POSITIONS crystal
K 0.249 0.249 0.242
K 0.751 0.751 0.758
Be 0.000 0.000 0.500
Cu 0.500 0.500 0.000
```

Below is an optimized crystal structure of K3Na2Cd3, with properties calculated at the GGA-PBE level. Values from VASP.

Calculated values
DFT formation energy in meV per atom: -31

```
&SYSTEM
  ibrav = 0, nat = 16, ntyp = 3
/
ATOMIC_SPECIES
K 39.10 K.upf
Na 22.99 Na.upf
Cd 112.41 Cd.upf
CELL_PARAMETERS angstrom
2.468 -6.424 0.000
2.468 6.424 0.000
0.000 0.000 19.809
ATOMIC_POSITIONS crystal
K 0.056 0.944 0.750
K 0.131 0.869 0.540
K 0.131 0.869 0.960
K 0.869 0.131 0.040
K 0.869 0.131 0.460
K 0.944 0.056 0.250
Na 0.224 0.776 0.157
Na 0.224 0.776 0.343
Na 0.776 0.224 0.657
Na 0.776 0.224 0.843
Cd 0.348 0.652 0.750
Cd 0.437 0.563 0.610
Cd 0.437 0.563 0.890
Cd 0.563 0.437 0.110
Cd 0.563 0.437 0.390
Cd 0.652 0.348 0.250
```

Below is an optimized crystal structure of TlAgTe, with properties calculated at the GGA-PBE level. Values from VASP.

Calculated values
E_form (uncorrected) in eV per atom: -0.20
Energy above the lowest structure with this stoichiometry in meV/atom: 12

```
&SYSTEM
  ibrav = 0, nat = 6, ntyp = 3
/
ATOMIC_SPECIES
Tl 204.38 Tl.upf
Ag 107.87 Ag.upf
Te 127.60 Te.upf
CELL_PARAMETERS angstrom
2.322 -7.925 0.000
2.322 7.925 0.000
0.000 0.000 4.756
ATOMIC_POSITIONS crystal
Tl 0.084 0.916 0.750
Tl 0.916 0.084 0.250
Ag 0.252 0.748 0.250
Ag 0.748 0.252 0.750
Te 0.362 0.638 0.750
Te 0.638 0.362 0.250
```

Below is an optimized crystal structure of LaOsF3, with properties calculated at the GGA-PBE level. Values from VASP.

Calculated values
E_form (uncorrected) in eV per atom: -1.01
Energy above the lowest structure with this stoichiometry in meV/atom: 578

```
&SYSTEM
  ibrav = 0, nat = 5, ntyp = 3
/
ATOMIC_SPECIES
La 138.91 La.upf
Os 190.23 Os.upf
F 19.00 F.upf
CELL_PARAMETERS angstrom
4.359 0.000 0.000
0.000 4.359 0.000
0.000 0.000 4.359
ATOMIC_POSITIONS crystal
La 0.000 0.000 0.000
Os 0.500 0.500 0.500
F 0.000 0.500 0.500
F 0.500 0.000 0.500
F 0.500 0.500 0.000
```

Below is an optimized crystal structure of Sm2Cu3Pt, with properties calculated at the GGA-PBE level. Values from VASP.

Calculated values
Energy above the lowest structure with this stoichiometry in meV/atom: 4
DFT formation energy in meV per atom: -492

```
&SYSTEM
  ibrav = 0, nat = 6, ntyp = 3
/
ATOMIC_SPECIES
Sm 150.36 Sm.upf
Cu 63.55 Cu.upf
Pt 195.08 Pt.upf
CELL_PARAMETERS angstrom
3.735 0.000 0.000
0.000 4.288 0.000
0.000 0.000 7.493
ATOMIC_POSITIONS crystal
Sm 0.000 0.000 0.000
Sm 0.000 0.500 0.487
Cu 0.500 0.000 0.671
Cu 0.500 0.500 0.147
Cu 0.500 0.500 0.824
Pt 0.500 0.000 0.330
```

Below is an optimized crystal structure of KPdO3, with properties calculated at the GGA-PBE level. Values from VASP.

Calculated values
E_form (uncorrected) in eV per atom: 1.26

```
&SYSTEM
  ibrav = 0, nat = 5, ntyp = 3
/
ATOMIC_SPECIES
K 39.10 K.upf
Pd 106.42 Pd.upf
O 16.00 O.upf
CELL_PARAMETERS angstrom
4.398 0.000 0.000
0.000 4.398 0.000
0.000 0.000 4.398
ATOMIC_POSITIONS crystal
K 0.000 0.000 0.000
Pd 0.500 0.500 0.500
O 0.000 0.000 0.500
O 0.000 0.500 0.000
O 0.500 0.000 0.000
```

Below is an optimized crystal structure of TiTe3P, with properties calculated at the GGA-PBE level. Values from VASP.

Calculated values
E_form (uncorrected) in eV per atom: 0.60
Energy above the lowest structure with this stoichiometry in meV/atom: 162

```
&SYSTEM
  ibrav = 0, nat = 5, ntyp = 3
/
ATOMIC_SPECIES
Ti 47.87 Ti.upf
Te 127.60 Te.upf
P 30.97 P.upf
CELL_PARAMETERS angstrom
5.165 0.000 0.000
0.000 5.165 0.000
0.000 0.000 5.165
ATOMIC_POSITIONS crystal
Ti 0.000 0.000 0.000
Te 0.000 0.500 0.500
Te 0.500 0.000 0.500
Te 0.500 0.500 0.000
P 0.500 0.500 0.500
```

Below is an optimized crystal structure of AlGa2Se3, with properties calculated at the GGA-PBE level. Values from VASP.

Calculated values
E_form (uncorrected) in eV per atom: -0.43

```
&SYSTEM
  ibrav = 0, nat = 6, ntyp = 3
/
ATOMIC_SPECIES
Al 26.98 Al.upf
Ga 69.72 Ga.upf
Se 78.96 Se.upf
CELL_PARAMETERS angstrom
-1.973 7.925 2.228
1.973 -7.925 2.228
1.973 7.925 -2.228
ATOMIC_POSITIONS crystal
Al 0.000 0.000 0.000
Ga 0.273 0.941 0.332
Ga 0.609 0.941 0.668
Se 0.005 0.854 0.151
Se 0.342 0.842 0.500
Se 0.703 0.854 0.849
```

Below is an optimized crystal structure of CsAcUS4, with properties calculated at the GGA-PBE level. Values from VASP.

Calculated values
E_form (uncorrected) in eV per atom: -1.61

```
&SYSTEM
  ibrav = 0, nat = 14, ntyp = 4
/
ATOMIC_SPECIES
Cs 132.91 Cs.upf
Ac 227.00 Ac.upf
U 238.03 U.upf
S 32.06 S.upf
CELL_PARAMETERS angstrom
-4.211 4.651 6.261
4.211 -4.651 6.261
4.211 4.651 -6.261
ATOMIC_POSITIONS crystal
Cs 0.392 0.142 0.250
Cs 0.608 0.858 0.750
Ac 0.000 0.500 0.500
Ac 0.500 0.500 0.000
U 0.000 0.000 0.500
U 0.000 0.500 0.000
S 0.175 0.737 0.438
S 0.201 0.263 0.938
S 0.215 0.245 0.530
S 0.215 0.685 0.970
S 0.785 0.315 0.030
S 0.785 0.755 0.470
S 0.799 0.737 0.062
S 0.825 0.263 0.562
```

Below is an optimized crystal structure of Tb7Pm6Nd16, with properties calculated at the GGA-PBE level. Values from VASP.

Calculated values
DFT formation energy in meV per atom: 205

```
&SYSTEM
  ibrav = 0, nat = 29, ntyp = 3
/
ATOMIC_SPECIES
Tb 158.93 Tb.upf
Pm 145.00 Pm.upf
Nd 144.24 Nd.upf
CELL_PARAMETERS angstrom
0.000 8.052 8.052
8.052 0.000 8.052
8.052 8.052 0.000
ATOMIC_POSITIONS crystal
Tb 0.000 0.000 0.000
Tb 0.000 0.000 0.500
Tb 0.000 0.500 0.000
Tb 0.000 0.500 0.500
Tb 0.500 0.000 0.000
Tb 0.500 0.000 0.500
Tb 0.500 0.500 0.000
Pm 0.269 0.269 0.731
Pm 0.269 0.731 0.269
Pm 0.269 0.731 0.731
Pm 0.731 0.269 0.269
Pm 0.731 0.269 0.731
Pm 0.731 0.731 0.269
Nd 0.048 0.651 0.651
Nd 0.126 0.126 0.126
Nd 0.126 0.126 0.622
Nd 0.126 0.622 0.126
Nd 0.349 0.349 0.349
Nd 0.349 0.349 0.952
Nd 0.349 0.952 0.349
Nd 0.378 0.874 0.874
Nd 0.622 0.126 0.126
Nd 0.651 0.048 0.651
Nd 0.651 0.651 0.048
Nd 0.651 0.651 0.651
Nd 0.874 0.378 0.874
Nd 0.874 0.874 0.378
Nd 0.874 0.874 0.874
Nd 0.952 0.349 0.349
```

Below is an optimized crystal structure of Sr3ZnGe6Pd2, with properties calculated at the GGA-PBE level. Values from VASP.

Calculated values
DFT formation energy in meV per atom: -230

```
&SYSTEM
  ibrav = 0, nat = 12, ntyp = 4
/
ATOMIC_SPECIES
Sr 87.62 Sr.upf
Zn 65.41 Zn.upf
Ge 72.64 Ge.upf
Pd 106.42 Pd.upf
CELL_PARAMETERS angstrom
6.228 0.000 0.000
-3.114 5.393 0.000
0.000 0.000 8.552
ATOMIC_POSITIONS crystal
Sr 0.000 0.000 0.000
Sr 0.333 0.667 0.633
Sr 0.667 0.333 0.367
Zn 0.000 0.000 0.500
Ge 0.194 0.387 0.284
Ge 0.194 0.806 0.284
Ge 0.387 0.194 0.716
Ge 0.613 0.806 0.284
Ge 0.806 0.194 0.716
Ge 0.806 0.613 0.716
Pd 0.333 0.667 0.035
Pd 0.667 0.333 0.965
```

Below is an optimized crystal structure of Li3ZrSe, with properties calculated at the GGA-PBE level. Values from VASP.

Calculated values
E_form (uncorrected) in eV per atom: 1.03
Energy above the lowest structure with this stoichiometry in meV/atom: 946

```
&SYSTEM
  ibrav = 0, nat = 5, ntyp = 3
/
ATOMIC_SPECIES
Li 6.94 Li.upf
Zr 91.22 Zr.upf
Se 78.96 Se.upf
CELL_PARAMETERS angstrom
5.268 0.000 0.000
0.000 5.268 0.000
0.000 0.000 5.268
ATOMIC_POSITIONS crystal
Li 0.000 0.000 0.500
Li 0.000 0.500 0.000
Li 0.500 0.000 0.000
Zr 0.000 0.000 0.000
Se 0.500 0.500 0.500
```

Below is an optimized crystal structure of Sc2Pd2Pb, with properties calculated at the GGA-PBE level. Values from VASP.

Calculated values
DFT formation energy in meV per atom: -473

```
&SYSTEM
  ibrav = 0, nat = 5, ntyp = 3
/
ATOMIC_SPECIES
Sc 44.96 Sc.upf
Pd 106.42 Pd.upf
Pb 207.20 Pb.upf
CELL_PARAMETERS angstrom
-1.919 1.919 7.425
1.919 -1.919 7.425
1.919 1.919 -7.425
ATOMIC_POSITIONS crystal
Sc 0.120 0.120 0.000
Sc 0.880 0.880 0.000
Pd 0.250 0.750 0.500
Pd 0.750 0.250 0.500
Pb 0.500 0.500 0.000
```

Below is an optimized crystal structure of LiZn2SnF, with properties calculated at the GGA-PBE level. Values from VASP.

Calculated values
E_form (uncorrected) in eV per atom: -0.29

```
&SYSTEM
  ibrav = 0, nat = 5, ntyp = 4
/
ATOMIC_SPECIES
Li 6.94 Li.upf
Zn 65.41 Zn.upf
Sn 118.71 Sn.upf
F 19.00 F.upf
CELL_PARAMETERS angstrom
4.634 0.000 0.000
0.000 4.634 0.000
0.000 0.000 4.855
ATOMIC_POSITIONS crystal
Li 0.000 0.000 0.000
Zn 0.000 0.500 0.500
Zn 0.500 0.000 0.500
Sn 0.500 0.500 0.000
F 0.500 0.500 0.500
```

Below is an optimized crystal structure of NdTlCd, with properties calculated at the GGA-PBE level. Values from VASP.

Calculated values
DFT formation energy in meV per atom: -328

```
&SYSTEM
  ibrav = 0, nat = 6, ntyp = 3
/
ATOMIC_SPECIES
Nd 144.24 Nd.upf
Tl 204.38 Tl.upf
Cd 112.41 Cd.upf
CELL_PARAMETERS angstrom
5.026 0.000 0.000
-2.513 4.353 0.000
0.000 0.000 7.500
ATOMIC_POSITIONS crystal
Nd 0.000 0.000 0.000
Nd 0.000 0.000 0.500
Tl 0.333 0.667 0.250
Tl 0.667 0.333 0.750
Cd 0.333 0.667 0.750
Cd 0.667 0.333 0.250
```

Below is an optimized crystal structure of CsC3O, with properties calculated at the GGA-PBE level. Values from VASP.

Calculated values
E_form (uncorrected) in eV per atom: 3.42
Energy above the lowest structure with this stoichiometry in meV/atom: 0

```
&SYSTEM
  ibrav = 0, nat = 5, ntyp = 3
/
ATOMIC_SPECIES
Cs 132.91 Cs.upf
C 12.01 C.upf
O 16.00 O.upf
CELL_PARAMETERS angstrom
4.257 0.000 0.000
0.000 4.257 0.000
0.000 0.000 4.257
ATOMIC_POSITIONS crystal
Cs 0.000 0.000 0.000
C 0.000 0.500 0.500
C 0.500 0.000 0.500
C 0.500 0.500 0.000
O 0.500 0.500 0.500
```

Below is an optimized crystal structure of Th2Zn3Pt5, with properties calculated at the GGA-PBE level. Values from VASP.

Calculated values
DFT formation energy in meV per atom: -832

```
&SYSTEM
  ibrav = 0, nat = 20, ntyp = 3
/
ATOMIC_SPECIES
Th 232.04 Th.upf
Zn 65.41 Zn.upf
Pt 195.08 Pt.upf
CELL_PARAMETERS angstrom
2.115 -12.628 0.000
2.115 12.628 0.000
0.000 0.000 7.004
ATOMIC_POSITIONS crystal
Th 0.027 0.973 0.500
Th 0.321 0.679 0.572
Th 0.679 0.321 0.072
Th 0.973 0.027 0.000
Zn 0.129 0.871 0.737
Zn 0.289 0.711 0.121
Zn 0.454 0.546 0.682
Zn 0.546 0.454 0.182
Zn 0.711 0.289 0.621
Zn 0.871 0.129 0.237
Pt 0.099 0.901 0.136
Pt 0.194 0.806 0.384
Pt 0.228 0.772 0.824
Pt 0.385 0.615 0.965
Pt 0.447 0.553 0.309
Pt 0.553 0.447 0.809
Pt 0.615 0.385 0.465
Pt 0.772 0.228 0.324
Pt 0.806 0.194 0.884
Pt 0.901 0.099 0.636
```

Below is an optimized crystal structure of Hg3Ge12Au5, with properties calculated at the GGA-PBE level. Values from VASP.

Calculated values
DFT formation energy in meV per atom: 245

```
&SYSTEM
  ibrav = 0, nat = 80, ntyp = 3
/
ATOMIC_SPECIES
Hg 200.59 Hg.upf
Ge 72.64 Ge.upf
Au 196.97 Au.upf
CELL_PARAMETERS angstrom
-7.776 7.776 7.776
7.776 -7.776 7.776
7.776 7.776 -7.776
ATOMIC_POSITIONS crystal
Hg 0.125 0.250 0.375
Hg 0.125 0.375 0.750
Hg 0.250 0.375 0.125
Hg 0.250 0.875 0.625
Hg 0.375 0.125 0.250
Hg 0.375 0.750 0.125
Hg 0.625 0.250 0.875
Hg 0.625 0.875 0.750
Hg 0.750 0.125 0.375
Hg 0.750 0.625 0.875
Hg 0.875 0.625 0.250
Hg 0.875 0.750 0.625
Ge 0.055 0.225 0.128
Ge 0.055 0.329 0.926
Ge 0.074 0.628 0.403
Ge 0.074 0.945 0.671
Ge 0.097 0.725 0.671
Ge 0.097 0.872 0.426
Ge 0.128 0.055 0.225
Ge 0.128 0.574 0.903
Ge 0.171 0.225 0.597
Ge 0.171 0.445 0.574
Ge 0.225 0.128 0.055
Ge 0.225 0.597 0.171
Ge 0.275 0.329 0.903
Ge 0.275 0.445 0.372
Ge 0.329 0.903 0.275
Ge 0.329 0.926 0.055
Ge 0.372 0.275 0.445
Ge 0.372 0.597 0.926
Ge 0.403 0.074 0.628
Ge 0.403 0.829 0.775
Ge 0.426 0.097 0.872
Ge 0.426 0.829 0.555
Ge 0.445 0.372 0.275
Ge 0.445 0.574 0.171
Ge 0.555 0.426 0.829
Ge 0.555 0.628 0.725
Ge 0.574 0.171 0.445
Ge 0.574 0.903 0.128
Ge 0.597 0.171 0.225
Ge 0.597 0.926 0.372
Ge 0.628 0.403 0.074
Ge 0.628 0.725 0.555
Ge 0.671 0.074 0.945
Ge 0.671 0.097 0.725
Ge 0.725 0.555 0.628
Ge 0.725 0.671 0.097
Ge 0.775 0.403 0.829
Ge 0.775 0.872 0.945
Ge 0.829 0.555 0.426
Ge 0.829 0.775 0.403
Ge 0.872 0.426 0.097
Ge 0.872 0.945 0.775
Ge 0.903 0.128 0.574
Ge 0.903 0.275 0.329
Ge 0.926 0.055 0.329
Ge 0.926 0.372 0.597
Ge 0.945 0.671 0.074
Ge 0.945 0.775 0.872
Au 0.000 0.000 0.000
Au 0.000 0.000 0.500
Au 0.000 0.500 0.000
Au 0.000 0.500 0.500
Au 0.125 0.750 0.875
Au 0.125 0.875 0.250
Au 0.250 0.125 0.875
Au 0.250 0.625 0.375
Au 0.375 0.250 0.625
Au 0.375 0.625 0.750
Au 0.500 0.000 0.000
Au 0.500 0.000 0.500
Au 0.500 0.500 0.000
Au 0.500 0.500 0.500
Au 0.625 0.375 0.250
Au 0.625 0.750 0.375
Au 0.750 0.375 0.625
Au 0.750 0.875 0.125
Au 0.875 0.125 0.750
Au 0.875 0.250 0.125
```

Below is an optimized crystal structure of Zr3TlGa, with properties calculated at the GGA-PBE level. Values from VASP.

Calculated values
Energy above the lowest structure with this stoichiometry in meV/atom: 1133
DFT formation energy in meV per atom: 1092

```
&SYSTEM
  ibrav = 0, nat = 5, ntyp = 3
/
ATOMIC_SPECIES
Zr 91.22 Zr.upf
Tl 204.38 Tl.upf
Ga 69.72 Ga.upf
CELL_PARAMETERS angstrom
5.313 0.000 0.000
0.000 5.313 0.000
0.000 0.000 5.313
ATOMIC_POSITIONS crystal
Zr 0.000 0.000 0.500
Zr 0.000 0.500 0.000
Zr 0.500 0.000 0.000
Tl 0.000 0.000 0.000
Ga 0.500 0.500 0.500
```

Below is an optimized crystal structure of Rb4Y3HfSe8, with properties calculated at the GGA-PBE level. Values from VASP.

Calculated values
E_form (uncorrected) in eV per atom: -1.60

```
&SYSTEM
  ibrav = 0, nat = 16, ntyp = 4
/
ATOMIC_SPECIES
Rb 85.47 Rb.upf
Y 88.91 Y.upf
Hf 178.49 Hf.upf
Se 78.96 Se.upf
CELL_PARAMETERS angstrom
4.158 2.400 8.008
-4.158 2.400 8.008
0.000 -4.801 8.008
ATOMIC_POSITIONS crystal
Rb 0.000 0.000 0.000
Rb 0.000 0.500 0.500
Rb 0.500 0.000 0.500
Rb 0.500 0.500 0.000
Y 0.000 0.000 0.500
Y 0.000 0.500 0.000
Y 0.500 0.000 0.000
Hf 0.500 0.500 0.500
Se 0.233 0.233 0.233
Se 0.247 0.723 0.723
Se 0.277 0.277 0.753
Se 0.277 0.753 0.277
Se 0.723 0.247 0.723
Se 0.723 0.723 0.247
Se 0.753 0.277 0.277
Se 0.767 0.767 0.767
```